(w)
The following is a PBE-GGA calculation of a relaxed BaLi crystal, from Alexandria.

## Properties
- Magnetic moment: 0.00 Bohr magnetons per cell
- N(E_F): 2.24 states/eV/f.u.

abc: 7.7765 7.9477 11.4456
angles: 90.00 90.00 90.00
With the nearest neighbours (Å) after each atom.
Atoms (fractional coordinates):
Ba: 0.1043 0.2400 0.1511  6 Li 3.77-4.07
Ba: 0.1854 0.2710 0.5427  6 Li 3.67-3.80, 2 Ba 4.02
Ba: 0.3146 0.7290 0.0427  6 Li 3.67-3.80, 2 Ba 4.02
Ba: 0.3957 0.7600 0.6511  6 Li 3.77-4.07
Ba: 0.6043 0.2600 0.8489  6 Li 3.77-4.07
Ba: 0.6854 0.2290 0.4573  6 Li 3.67-3.80, 2 Ba 4.02
Ba: 0.8146 0.7710 0.9573  6 Li 3.67-3.80, 2 Ba 4.02
Ba: 0.8957 0.7400 0.3489  6 Li 3.77-4.07
Li: 0.0906 0.4375 0.8345  2 Li 2.93-2.96
Li: 0.1478 0.0737 0.8436  2 Li 2.93-2.96
Li: 0.3522 0.9263 0.3436  2 Li 2.93-2.96
Li: 0.4094 0.5625 0.3345  2 Li 2.93-2.96
Li: 0.5906 0.0625 0.1655  2 Li 2.93-2.96
Li: 0.6478 0.4263 0.1564  2 Li 2.93-2.96
Li: 0.8522 0.5737 0.6564  2 Li 2.93-2.96
Li: 0.9094 0.9375 0.6655  2 Li 2.93-2.96

(x)
The following is a PBE-GGA calculation of a relaxed BaLi crystal, from Alexandria.

## Properties
- Magnetic moment: 0.00 Bohr magnetons per cell
- N(E_F): 1.94 states/eV/f.u.

abc: 4.2086 6.2253 12.8211
angles: 90.00 90.00 90.00
With the nearest neighbours (Å) after each atom.
Atoms (fractional coordinates):
Ba: 0.0000 0.2500 0.1016  6 Li 3.84-4.00, 4 Ba 4.06-4.21
Ba: 0.0000 0.7500 0.8984  6 Li 3.84-4.00, 4 Ba 4.06-4.21
Ba: 0.5000 0.2500 0.3984  6 Li 3.84-4.00, 4 Ba 4.06-4.21
Ba: 0.5000 0.7500 0.6016  6 Li 3.84-4.00, 4 Ba 4.06-4.21
Li: 0.0000 0.2500 0.6639  2 Li 3.05
Li: 0.0000 0.7500 0.3361  2 Li 3.05
Li: 0.5000 0.2500 0.8361  2 Li 3.05
Li: 0.5000 0.7500 0.1639  2 Li 3.05

(y)
The following is a PBE-GGA calculation of a relaxed BaLi crystal, from Alexandria.

## Properties
- Magnetic moment: 0.00 Bohr magnetons per cell
- N(E_F): 1.83 states/eV/f.u.

abc: 10.1634 9.2621 6.5846
angles: 77.76 62.95 39.28
With the nearest neighbours (Å) after each atom.
Atoms (fractional coordinates):
Ba: 0.0469 0.7031 0.0469  4 Li 3.53-3.87, 1 Ba 3.79
Ba: 0.2969 0.9531 0.2969  4 Li 3.53-3.87, 1 Ba 3.79
Ba: 0.7031 0.0469 0.7031  4 Li 3.53-3.87, 1 Ba 3.79
Ba: 0.9531 0.2969 0.9531  4 Li 3.53-3.87, 1 Ba 3.79
Li: 0.2954 0.2954 0.4546  1 Li 2.72
Li: 0.4546 0.4546 0.2954  1 Li 2.72
Li: 0.5454 0.5454 0.7046  1 Li 2.72
Li: 0.7046 0.7046 0.5454  1 Li 2.72

Most stable pick: (x). Distance to second place: 0.025 eV/atom.

(w)
The following is a PBE-GGA calculation of a relaxed BaLi crystal, from Alexandria.

## Properties
- Magnetic moment: 0.00 Bohr magnetons per cell
- N(E_F): 1.91 states/eV/f.u.

abc: 4.4963 19.7332 5.8638
angles: 90.00 90.00 90.00
With the nearest neighbours (Å) after each atom.
Atoms (fractional coordinates):
Ba: 0.2500 0.0655 0.2494  5 Li 3.90-3.93, 2 Ba 4.28
Ba: 0.2500 0.4345 0.2494  5 Li 3.90-3.93, 2 Ba 4.28
Ba: 0.2500 0.7500 0.7541  8 Li 3.69-3.75
Ba: 0.7500 0.2500 0.2459  8 Li 3.69-3.75
Ba: 0.7500 0.5655 0.7506  5 Li 3.90-3.93, 2 Ba 4.28
Ba: 0.7500 0.9345 0.7506  5 Li 3.90-3.93, 2 Ba 4.28
Li: 0.2500 0.2500 0.7451  4 Li 3.23
Li: 0.2500 0.6322 0.2525  2 Li 3.23
Li: 0.2500 0.8678 0.2525  2 Li 3.23
Li: 0.7500 0.1322 0.7475  2 Li 3.23
Li: 0.7500 0.3678 0.7475  2 Li 3.23
Li: 0.7500 0.7500 0.2549  4 Li 3.23

(x)
The following is a PBE-GGA calculation of a relaxed BaLi crystal, from Alexandria.

## Properties
- Magnetic moment: 0.00 Bohr magnetons per cell
- N(E_F): 2.21 states/eV/f.u.

abc: 4.0364 4.0364 13.0200
angles: 90.00 90.00 120.00
With the nearest neighbours (Å) after each atom.
Atoms (fractional coordinates):
Ba: 0.3333 0.6667 0.0000  4 Li 3.56-3.76
Ba: 0.6667 0.3333 0.5000  4 Li 3.56-3.76
Li: 0.3333 0.6667 0.2731  4 Ba 3.56-3.76
Li: 0.6667 0.3333 0.7731  4 Ba 3.56-3.76

Most stable pick: (w). Distance to second place: 0.220 eV/atom.

(w)
The following is a PBE-GGA calculation of a relaxed Ba5Li crystal, from Alexandria.

## Properties
- Magnetic moment: 0.00 Bohr magnetons per cell
- N(E_F): 8.64 states/eV/f.u.

abc: 15.1488 4.5006 10.7490
angles: 90.00 111.26 90.00
With the nearest neighbours (Å) after each atom.
Atoms (fractional coordinates):
Ba: 0.0000 0.0000 0.0000  2 Li 3.68
Ba: 0.0357 0.0000 0.4302  2 Li 3.99, 2 Ba 4.32-4.46
Ba: 0.1935 0.5000 0.8388  2 Li 3.98, 1 Ba 4.33
Ba: 0.2294 0.5000 0.2698  2 Li 3.68
Ba: 0.3649 0.0000 0.6349  12 Ba 4.34-4.66
Ba: 0.5000 0.5000 0.0000  2 Li 3.68
Ba: 0.5357 0.5000 0.4302  2 Li 3.99, 2 Ba 4.32-4.46
Ba: 0.6935 0.0000 0.8388  2 Li 3.98, 1 Ba 4.33
Ba: 0.7294 0.0000 0.2698  2 Li 3.68
Ba: 0.8649 0.5000 0.6349  12 Ba 4.34-4.66
Li: 0.3642 0.0000 0.1342  8 Ba 3.68-3.99
Li: 0.8642 0.5000 0.1342  8 Ba 3.68-3.99

(x)
The following is a PBE-GGA calculation of a relaxed Ba5Li crystal, from Alexandria.

## Properties
- Magnetic moment: 0.00 Bohr magnetons per cell
- N(E_F): 9.94 states/eV/f.u.

abc: 7.5081 7.5081 7.0523
angles: 90.00 90.00 120.00
With the nearest neighbours (Å) after each atom.
Atoms (fractional coordinates):
Ba: 0.0000 0.6768 0.0000  10 Ba 4.20-4.40, 2 Li 4.28
Ba: 0.3232 0.3232 0.0000  10 Ba 4.20-4.40, 2 Li 4.28
Ba: 0.3333 0.6667 0.5000  3 Li 4.33, 9 Ba 4.33-4.35
Ba: 0.6667 0.3333 0.5000  3 Li 4.33, 9 Ba 4.33-4.35
Ba: 0.6768 0.0000 0.0000  10 Ba 4.20-4.40, 2 Li 4.28
Li: 0.0000 0.0000 0.5000  12 Ba 4.28-4.33

(y)
The following is a PBE-GGA calculation of a relaxed Ba5Li crystal, from Alexandria.

## Properties
- Magnetic moment: 0.00 Bohr magnetons per cell
- N(E_F): 8.37 states/eV/f.u.

abc: 10.5809 10.5809 10.5809
angles: 129.29 129.29 74.54
With the nearest neighbours (Å) after each atom.
Atoms (fractional coordinates):
Ba: 0.0000 0.0000 0.0000  8 Ba 4.15, 2 Li 4.21
Ba: 0.0208 0.5208 0.8243  2 Li 3.86, 4 Ba 4.15-4.30
Ba: 0.1965 0.0208 0.5000  2 Li 3.86, 4 Ba 4.15-4.30
Ba: 0.3035 0.8035 0.8243  2 Li 3.86, 4 Ba 4.15-4.30
Ba: 0.4792 0.3035 0.5000  2 Li 3.86, 4 Ba 4.15-4.30
Ba: 0.5000 0.5000 0.0000  8 Ba 4.15, 2 Li 4.21
Ba: 0.5208 0.6965 0.5000  2 Li 3.86, 4 Ba 4.15-4.30
Ba: 0.6965 0.1965 0.1757  2 Li 3.86, 4 Ba 4.15-4.30
Ba: 0.8035 0.9792 0.5000  2 Li 3.86, 4 Ba 4.15-4.30
Ba: 0.9792 0.4792 0.1757  2 Li 3.86, 4 Ba 4.15-4.30
Li: 0.2500 0.2500 0.0000  10 Ba 3.86-4.21
Li: 0.7500 0.7500 0.0000  10 Ba 3.86-4.21

Most stable pick: (w). Distance to second place: 0.048 eV/atom.

(w)
The following is a PBE-GGA calculation of a relaxed Ba5Li crystal, from Alexandria.

## Properties
- Magnetic moment: 0.00 Bohr magnetons per cell
- N(E_F): 7.94 states/eV/f.u.

abc: 7.0059 20.8889 4.6508
angles: 90.00 90.00 90.00
With the nearest neighbours (Å) after each atom.
Atoms (fractional coordinates):
Ba: 0.0000 0.0000 0.0000  4 Li 4.20, 10 Ba 4.45-4.65
Ba: 0.0000 0.1818 0.5000  12 Ba 4.31-4.65
Ba: 0.0000 0.3635 0.0000  2 Li 3.68
Ba: 0.0000 0.6365 0.0000  2 Li 3.68
Ba: 0.0000 0.8182 0.5000  12 Ba 4.31-4.65
Ba: 0.5000 0.1365 0.0000  2 Li 3.68
Ba: 0.5000 0.3182 0.5000  12 Ba 4.31-4.65
Ba: 0.5000 0.5000 0.0000  4 Li 4.20, 10 Ba 4.45-4.65
Ba: 0.5000 0.6818 0.5000  12 Ba 4.31-4.65
Ba: 0.5000 0.8635 0.0000  2 Li 3.68
Li: 0.0000 0.5000 0.5000  4 Ba 3.68
Li: 0.5000 0.0000 0.5000  4 Ba 3.68

(x)
The following is a PBE-GGA calculation of a relaxed Ba5Li crystal, from Alexandria.

## Properties
- Magnetic moment: 0.00 Bohr magnetons per cell
- N(E_F): 8.87 states/eV/f.u.

abc: 6.8597 4.9254 20.2903
angles: 90.00 90.00 90.00
With the nearest neighbours (Å) after each atom.
Atoms (fractional coordinates):
Ba: 0.0000 0.0000 0.0000  2 Li 3.97, 4 Ba 4.24
Ba: 0.0000 0.0000 0.3064  2 Li 3.96, 4 Ba 4.24
Ba: 0.0000 0.5000 0.5000  2 Li 3.97, 4 Ba 4.24
Ba: 0.0000 0.5000 0.8064  2 Li 3.96, 4 Ba 4.24
Ba: 0.5000 0.0000 0.1530  4 Li 4.22, 8 Ba 4.23-4.63
Ba: 0.5000 0.0000 0.4832  8 Ba 4.08-4.24
Ba: 0.5000 0.0000 0.8226  8 Ba 4.08-4.24
Ba: 0.5000 0.5000 0.3226  8 Ba 4.08-4.24
Ba: 0.5000 0.5000 0.6530  4 Li 4.22, 8 Ba 4.23-4.63
Ba: 0.5000 0.5000 0.9832  8 Ba 4.08-4.24
Li: 0.0000 0.0000 0.6536  8 Ba 3.96-4.22
Li: 0.0000 0.5000 0.1536  8 Ba 3.96-4.22

Most stable pick: (w). Distance to second place: 0.016 eV/atom.